# OsWS2

OsWS2 at its PBEsol-relaxed geometry (meta-GGA SCAN, Alexandria).

Unit cell a=2.9950 b=2.9950 c=8.0841 alpha=79.33 beta=79.33 gamma=60.00
Element x y z (fractional)
W 0.0000 0.0000 0.0000
S 0.9030 0.9030 0.2909
S 0.0970 0.0970 0.7091
Os 0.5000 0.5000 0.5000

Computed properties:
- total energy (eV per atom) = -39.68
- space group = R-3m (166)
- magnetization (μB per formula unit) = 0.00